Run w
Below is a relaxed structure of K2Mg2Cu, with properties calculated at the PBE level.

## Properties
Crystal system: tetragonal
Total magnetization, μB/atom: 0.000
Space group: I4/mmm (139)

Cell lengths 4.1762, 4.1762, 21.2520 Å; angles 90.00, 90.00, 90.00 degrees
Atoms (fractional coordinates):
K1 0.0000 0.0000 0.0913
K2 0.0000 0.0000 0.9087
K3 0.5000 0.5000 0.4087
K4 0.5000 0.5000 0.5913
Mg1 0.0000 0.5000 0.2500
Mg2 0.0000 0.5000 0.7500
Mg3 0.5000 0.0000 0.2500
Mg4 0.5000 0.0000 0.7500
Cu1 0.0000 0.0000 0.5000
Cu2 0.5000 0.5000 0.0000


Run x
Below is a relaxed structure of K2Mg2Cu, with properties calculated at the PBE level.

## Properties
Crystal system: tetragonal
Total magnetization, μB/atom: 0.000
Space group: P4/mbm (127)

Cell lengths 8.4137, 8.4137, 5.7378 Å; angles 90.00, 90.00, 90.00 degrees
Atoms (fractional coordinates):
K1 0.1613 0.3387 0.0000
K2 0.3387 0.8387 0.0000
K3 0.6613 0.1613 0.0000
K4 0.8387 0.6613 0.0000
Mg1 0.1438 0.6438 0.5000
Mg2 0.3562 0.1438 0.5000
Mg3 0.6438 0.8562 0.5000
Mg4 0.8562 0.3562 0.5000
Cu1 0.0000 0.0000 0.0000
Cu2 0.5000 0.5000 0.0000


According to the calculations, the structures order from most to least stable as run w, run x.


Run w
Below is a relaxed structure of KMgTl2Cu, with properties calculated at the PBE level.

## Properties
Crystal system: tetragonal
Total magnetization, μB/atom: 0.000
Space group: P4/mmm (123)

Cell lengths 6.1882, 6.1882, 5.2651 Å; angles 90.00, 90.00, 90.00 degrees
Atoms (fractional coordinates):
K1 0.0000 0.0000 0.0000
Mg1 0.5000 0.5000 0.5000
Tl1 0.0000 0.5000 0.0000
Tl2 0.5000 0.0000 0.0000
Cu1 0.0000 0.0000 0.5000


Run x
Below is a relaxed structure of KMgTl2Cu, with properties calculated at the PBE level.

## Properties
Crystal system: tetragonal
Total magnetization, μB/atom: 0.000
Space group: P4/mmm (123)

Cell lengths 5.3493, 5.3493, 5.1604 Å; angles 90.00, 90.00, 90.00 degrees
Atoms (fractional coordinates):
K1 0.0000 0.0000 0.0000
Mg1 0.5000 0.5000 0.0000
Tl1 0.0000 0.5000 0.5000
Tl2 0.5000 0.0000 0.5000
Cu1 0.5000 0.5000 0.5000


According to the calculations, the structures order from most to least stable as run x, run w.


Run w
Below is a relaxed structure of KCuMo, with properties calculated at the PBE level.

## Properties
Crystal system: orthorhombic
Total magnetization, μB/atom: 0.000
Space group: Cmcm (63)

Cell lengths 4.7469, 12.8785, 4.8624 Å; angles 90.00, 90.00, 90.00 degrees
Atoms (fractional coordinates):
K1 0.0000 0.2244 0.2500
K2 0.0000 0.7756 0.7500
K3 0.5000 0.2756 0.7500
K4 0.5000 0.7244 0.2500
Cu1 0.0000 0.0000 0.0000
Cu2 0.0000 0.0000 0.5000
Cu3 0.5000 0.5000 0.0000
Cu4 0.5000 0.5000 0.5000
Mo1 0.0000 0.5000 0.2500
Mo2 0.0000 0.5000 0.7500
Mo3 0.5000 0.0000 0.2500
Mo4 0.5000 0.0000 0.7500


Run x
Below is a relaxed structure of KCuMo, with properties calculated at the PBE level.

## Properties
Crystal system: tetragonal
Total magnetization, μB/atom: 0.090
Space group: I4mm (107)

Cell lengths 2.8724, 2.8724, 14.7303 Å; angles 90.00, 90.00, 90.00 degrees
Atoms (fractional coordinates):
K1 0.0000 0.0000 0.0000
K2 0.5000 0.5000 0.5000
Cu1 0.0000 0.0000 0.3165
Cu2 0.5000 0.5000 0.8165
Mo1 0.0000 0.0000 0.7066
Mo2 0.5000 0.5000 0.2066


Run y
Below is a relaxed structure of KCuMo, with properties calculated at the PBE level.

## Properties
Crystal system: cubic
Total magnetization, μB/atom: 1.710
Space group: F-43m (216)

Cell lengths 7.3426, 7.3426, 7.3426 Å; angles 90.00, 90.00, 90.00 degrees
Atoms (fractional coordinates):
K1 0.0000 0.0000 0.0000
K2 0.0000 0.5000 0.5000
K3 0.5000 0.0000 0.5000
K4 0.5000 0.5000 0.0000
Cu1 0.2500 0.2500 0.7500
Cu2 0.2500 0.7500 0.2500
Cu3 0.7500 0.2500 0.2500
Cu4 0.7500 0.7500 0.7500
Mo1 0.2500 0.2500 0.2500
Mo2 0.2500 0.7500 0.7500
Mo3 0.7500 0.2500 0.7500
Mo4 0.7500 0.7500 0.2500


According to the calculations, the structures order from most to least stable as run w, run x, run y.